[1]
ZrGa2Cu4 after structural relaxation, computed with GGA-PBE.

Structure (POSCAR):
```
ZrGa2Cu4
1.0
3.988 0.000 1.062
1.853 3.532 1.062
0.176 0.107 7.358
Cu Ga Zr
4 2 1
direct
0.435 0.435 0.694
0.141 0.141 0.578
0.565 0.565 0.306
0.859 0.859 0.422
0.261 0.261 0.218
0.739 0.739 0.782
0.000 0.000 0.000
```

As for the energy of formation from the pure elements: -1.4 eV/f.u. The calculation puts the final energy at -0.3400 Ry per atom.

---

[2]
ZrGaCu2 after structural relaxation, computed with GGA-PBE.

Structure (POSCAR):
```
ZrGaCu2
1.0
-3.656 -0.927 1.219
-0.715 -1.758 -3.479
0.803 -8.907 2.078
Cu Ga Zr
4 2 2
direct
0.567 0.125 0.250
0.183 0.625 0.250
0.375 0.433 0.750
0.875 0.817 0.750
0.500 0.500 0.000
0.250 0.750 0.500
0.000 0.000 0.000
0.750 0.250 0.500
```

As for the energy of formation from the pure elements: 0.2 eV/f.u. The calculation puts the final energy at -0.3590 Ry per atom.

---

- Which value of energy of formation from the pure elements does entry 2 give?
  0.2 eV/f.u.

---

- Which of these has the lowest final energy?
  ZrGaCu2